First-principles (GGA-PBE) data for crystalline Cs2KAsF6 at its relaxed geometry, as listed in Alexandria via LeMat-Bulk.

Results
* energy relative to the elements, uncorrected: -2564.2 meV per atom

Cell lengths 9.383, 9.383, 9.383 Å; angles 90.00, 90.00, 90.00 degrees
Space group Fm-3m (No. 225)
Symmetry-distinct sites (fractional):
Cs (0.250, 0.250, 0.250) [8 per cell]
K (0.000, 0.000, 0.000) [4 per cell]
As (0.000, 0.000, 0.500) [4 per cell]
F (0.000, 0.000, 0.278) [24 per cell]



First-principles (GGA-PBE) data for crystalline Pm2ScI6 at its relaxed geometry, as listed in Alexandria via LeMat-Bulk.

Results
* energy relative to the elements, uncorrected: -1190.2 meV per atom

Cell lengths 16.297, 4.143, 12.920 Å; angles 90.00, 120.88, 90.00 degrees
Space group C2/m (No. 12)
Symmetry-distinct sites (fractional):
Pm (0.171, 0.000, 0.286) [4 per cell]
Sc (0.000, 0.500, 0.000) [2 per cell]
I (0.006, 0.500, 0.229) [4 per cell]
I (0.163, 0.000, 0.539) [4 per cell]
I (0.206, 0.500, 0.122) [4 per cell]



First-principles (GGA-PBE) data for crystalline K2InGeTe4 at its relaxed geometry, as listed in Alexandria via LeMat-Bulk.

Results
* energy relative to the elements, uncorrected: -496.0 meV per atom

Cell lengths 9.612, 9.970, 7.314 Å; angles 90.00, 90.00, 90.00 degrees
Space group Pmn2_1 (No. 31)
Symmetry-distinct sites (fractional):
K (0.242, 0.157, 0.000) [4 per cell]
In (0.000, 0.359, 0.442) [2 per cell]
Ge (0.000, 0.660, 0.947) [2 per cell]
Te (0.000, 0.406, 0.058) [2 per cell]
Te (0.000, 0.621, 0.585) [2 per cell]
Te (0.245, 0.203, 0.513) [4 per cell]



First-principles (GGA-PBE) data for crystalline Li2InCl at its relaxed geometry, as listed in Alexandria via LeMat-Bulk.

Results
* energy relative to the elements, uncorrected: -598.0 meV per atom

Cell lengths 6.078, 8.439, 3.214 Å; angles 90.00, 90.56, 90.00 degrees
Space group C2/m (No. 12)
Symmetry-distinct sites (fractional):
Li (0.250, 0.250, 0.000) [4 per cell]
In (0.000, 0.000, 0.500) [2 per cell]
Cl (0.000, 0.500, 0.500) [2 per cell]



no.,total magnetic moment (μB per formula unit),final energy (eV/atom)
1,0.00,-4.432
2,0.00,-3.983
3,0.00,-3.261
4,0.00,-2.701